# 1
This record from Alexandria via LeMat-Bulk describes a relaxed CsMgMoSe2 crystal. The functional is GGA-PBEsol.

a b c (Å): 4.9363 4.9363 5.9026
angles (deg): 90.00 90.00 90.00
Positions (direct):
Mo 0.0000 0.0000 0.0000
Se 0.5000 0.0000 0.0000
Se 0.0000 0.5000 0.0000
Cs 0.0000 0.0000 0.5000
Mg 0.5000 0.5000 0.5000

Formation energy without anion corrections = 284 meV/atom
DOS at the Fermi energy = 0.54 states/eV per atom


# 2
This record from Alexandria via LeMat-Bulk describes a relaxed Cs2MgN crystal. The functional is GGA-PBEsol.

a b c (Å): 5.7267 5.7267 5.7267
angles (deg): 60.00 60.00 60.00
Each line ends with the local moment (μB).
Positions (direct):
N 0.0000 0.0000 0.0000  0.80
Cs 0.7500 0.7500 0.7500  -0.01
Cs 0.2500 0.2500 0.2500  -0.01
Mg 0.5000 0.5000 0.5000  0.00

Formation energy without anion corrections = 975 meV/atom
DOS at the Fermi energy = 1.08 states/eV per atom


# 3
This record from Alexandria via LeMat-Bulk describes a relaxed Cs2MgZrP3O12 crystal. The functional is GGA-PBEsol.

a b c (Å): 10.3110 10.3110 10.3110
angles (deg): 90.00 90.00 90.00
Each line ends with the local moment (μB).
Positions (direct):
O 0.2423 0.6061 0.6619  0.03
O 0.0536 0.7230 0.9969  0.05
O 0.6666 0.5218 0.4363  0.13
O 0.7904 0.2293 0.0469  0.11
O 0.3334 0.0218 0.0637  0.13
O 0.8381 0.7577 0.1061  0.03
O 0.7577 0.1061 0.8381  0.03
O 0.0637 0.3334 0.0218  0.13
O 0.3381 0.7423 0.8939  0.03
O 0.4363 0.6666 0.5218  0.13
O 0.7230 0.9969 0.0536  0.05
O 0.4531 0.2096 0.7293  0.11
O 0.5031 0.9464 0.2230  0.05
O 0.7770 0.0031 0.5536  0.05
O 0.0031 0.5536 0.7770  0.05
O 0.3939 0.1619 0.2577  0.03
O 0.4782 0.9363 0.8334  0.13
O 0.2770 0.4969 0.4464  0.05
O 0.9969 0.0536 0.7230  0.05
O 0.2577 0.3939 0.1619  0.03
O 0.1061 0.8381 0.7577  0.03
O 0.8939 0.3381 0.7423  0.03
O 0.4464 0.2770 0.4969  0.05
O 0.0218 0.0637 0.3334  0.13
O 0.7707 0.5469 0.7096  0.11
O 0.1666 0.9782 0.5637  0.13
O 0.9531 0.2904 0.2707  0.11
O 0.7293 0.4531 0.2096  0.11
O 0.8334 0.4782 0.9363  0.13
O 0.2904 0.2707 0.9531  0.11
O 0.2096 0.7293 0.4531  0.11
O 0.7096 0.7707 0.5469  0.11
O 0.5637 0.1666 0.9782  0.13
O 0.0469 0.7904 0.2293  0.11
O 0.9464 0.2230 0.5031  0.05
O 0.4969 0.4464 0.2770  0.05
O 0.6061 0.6619 0.2423  0.03
O 0.6619 0.2423 0.6061  0.03
O 0.2707 0.9531 0.2904  0.11
O 0.5218 0.4363 0.6666  0.13
O 0.9782 0.5637 0.1666  0.13
O 0.5469 0.7096 0.7707  0.11
O 0.2230 0.5031 0.9464  0.05
O 0.1619 0.2577 0.3939  0.03
O 0.7423 0.8939 0.3381  0.03
O 0.2293 0.0469 0.7904  0.11
O 0.5536 0.7770 0.0031  0.05
O 0.9363 0.8334 0.4782  0.13
P 0.7936 0.8718 0.4789  -0.01
P 0.7064 0.1282 0.9789  -0.01
P 0.5211 0.2936 0.6282  -0.01
P 0.8718 0.4789 0.7936  -0.01
P 0.3718 0.0211 0.2064  -0.01
P 0.0211 0.2064 0.3718  -0.01
P 0.9789 0.7064 0.1282  -0.01
P 0.2936 0.6282 0.5211  -0.01
P 0.4789 0.7936 0.8718  -0.01
P 0.1282 0.9789 0.7064  -0.01
P 0.6282 0.5211 0.2936  -0.01
P 0.2064 0.3718 0.0211  -0.01
Cs 0.5436 0.4564 0.9564  0.00
Cs 0.8168 0.8168 0.8168  0.00
Cs 0.4564 0.9564 0.5436  0.00
Cs 0.3168 0.6832 0.1832  0.00
Cs 0.6832 0.1832 0.3168  0.00
Cs 0.0436 0.0436 0.0436  0.00
Cs 0.9564 0.5436 0.4564  0.00
Cs 0.1832 0.3168 0.6832  0.00
Zr 0.6633 0.8367 0.1633  -0.01
Zr 0.3367 0.3367 0.3367  -0.01
Zr 0.1633 0.6633 0.8367  -0.01
Zr 0.8367 0.1633 0.6633  -0.01
Mg 0.3925 0.1075 0.8925  0.00
Mg 0.1075 0.8925 0.3925  0.00
Mg 0.6075 0.6075 0.6075  0.00
Mg 0.8925 0.3925 0.1075  0.00

Formation energy without anion corrections = -2509 meV/atom
DOS at the Fermi energy = 0.65 states/eV per atom


# 4
This record from Alexandria via LeMat-Bulk describes a relaxed Cs4MgZr3P6O24 crystal. The functional is GGA-PBEsol.

a b c (Å): 10.3180 10.3137 10.3303
angles (deg): 90.00 90.10 90.00
Positions (direct):
O 0.5645 0.0876 0.2744
O 0.4791 0.3158 0.4167
O 0.2747 0.7543 0.8017
O 0.5209 0.8158 0.5833
O 0.0165 0.1868 0.9143
O 0.6621 0.0071 0.6452
O 0.7709 0.7040 0.5433
O 0.1702 0.2669 0.6854
O 0.7567 0.1449 0.4140
O 0.0644 0.9205 0.2350
O 0.9977 0.1962 0.5237
O 0.2944 0.9773 0.2966
O 0.7890 0.0191 0.2049
O 0.1624 0.9946 0.8573
O 0.7441 0.3572 0.9104
O 0.8376 0.4946 0.1427
O 0.4943 0.8025 0.9737
O 0.3962 0.0865 0.9953
O 0.9479 0.0242 0.7448
O 0.7253 0.2543 0.1983
O 0.5546 0.4758 0.2467
O 0.6629 0.7284 0.8144
O 0.3371 0.2284 0.1856
O 0.5057 0.3025 0.0263
O 0.8916 0.9115 0.5066
O 0.9534 0.9577 0.9782
O 0.4454 0.9758 0.7533
O 0.1084 0.4115 0.4934
O 0.2716 0.2957 0.9594
O 0.8298 0.7669 0.3146
O 0.4355 0.5876 0.7256
O 0.9835 0.6868 0.0857
O 0.2110 0.5191 0.7951
O 0.7284 0.7957 0.0406
O 0.0521 0.5242 0.2552
O 0.0023 0.6962 0.4763
O 0.9356 0.4205 0.7650
O 0.5460 0.5420 0.4782
O 0.6038 0.5865 0.0047
O 0.4540 0.0420 0.5218
O 0.0466 0.4577 0.0218
O 0.7056 0.4773 0.7034
O 0.2433 0.6449 0.5860
O 0.2254 0.7467 0.3046
O 0.3379 0.5071 0.3548
O 0.7746 0.2467 0.6954
O 0.2291 0.2040 0.4567
O 0.2559 0.8572 0.0896
P 0.7968 0.3760 0.7706
P 0.5221 0.9589 0.6262
P 0.6259 0.7292 0.9606
P 0.2032 0.8760 0.2294
P 0.8728 0.7717 0.4538
P 0.9806 0.5442 0.1207
P 0.1272 0.2717 0.5462
P 0.4779 0.4589 0.3738
P 0.7112 0.1227 0.2722
P 0.0194 0.0442 0.8793
P 0.3741 0.2292 0.0394
P 0.2888 0.6227 0.7278
Cs 0.6875 0.0661 0.9354
Cs 0.4522 0.2923 0.7182
Cs 0.9635 0.7079 0.8041
Cs 0.0365 0.2079 0.1959
Cs 0.1766 0.9299 0.5718
Cs 0.8234 0.4299 0.4282
Cs 0.5478 0.7923 0.2818
Cs 0.3125 0.5661 0.0646
Zr 0.1597 0.5872 0.4113
Zr 0.3903 0.1415 0.3567
Zr 0.6097 0.6415 0.6433
Zr 0.3331 0.9136 0.9144
Zr 0.6669 0.4136 0.0856
Zr 0.8403 0.0872 0.5887
Mg 0.8953 0.8556 0.1434
Mg 0.1047 0.3556 0.8566

Formation energy without anion corrections = -2690 meV/atom
DOS at the Fermi energy = 0.00 states/eV per atom